Computed, not measured: an optimized crystal structure of TmMg2Sc4 at the PBE-GGA level of DFT.

Cell: 4.8499 22.3548 3.2199 Å, 90.00 90.00 90.00°
Space group Cmmm (No. 65)
Unique sites:
Tm1 0.0000 0.0000 0.0000 x2
Mg1 0.0000 0.2865 0.5000 x4
Sc1 0.0000 0.1494 0.0000 x4
Sc2 0.0000 0.4254 0.5000 x4

Properties
DFT total energy (eV per atom): -4.679
ΔH_f (0 K) (meV per atom): 33
Excess energy over the best structure of this formula in the dataset (meV/atom): 0.0